TiSeN2F at its PBEsol-relaxed geometry. Source: the Alexandria database, functional meta-GGA SCAN.

abc: 3.738 4.018 4.018
angles: 90.00 90.00 90.00
Positions (direct):
N 0.000 0.000 0.500
N 0.000 0.500 0.000
F 0.500 0.000 0.000
Se 0.500 0.500 0.500
Ti 0.000 0.000 0.000

Computed properties:
Magnetization ... 0.0 μB per formula unit
Raw formation energy ... -299.9 meV per atom
Polymorph energy (0 for the lowest one) ... 0 meV/atom
Electronic total energy ... -59.730 eV/cell